1.
A geometry-optimized Cs6K4Au structure. Source: the Alexandria database, functional GGA-PBE.

Properties
**V**: 1902.7 Å³/cell
**Crystal system**: tetragonal
**Magnetization**: 0.00 μB per cell
**Formation enthalpy at 0 K**: -0.035 eV per atom

Unit cell a=12.211 b=12.211 c=12.761 alpha=90.00 beta=90.00 gamma=90.00
Fractional coordinates of all 22 atoms:
Cs 0.000 0.000 0.213
Cs 0.000 0.000 0.787
Cs 0.138 0.277 0.500
Cs 0.223 0.362 0.000
Cs 0.277 0.862 0.500
Cs 0.362 0.777 0.000
Cs 0.500 0.500 0.287
Cs 0.500 0.500 0.713
Cs 0.638 0.223 0.000
Cs 0.723 0.138 0.500
Cs 0.777 0.638 0.000
Cs 0.862 0.723 0.500
K 0.124 0.624 0.250
K 0.124 0.624 0.750
K 0.376 0.124 0.250
K 0.376 0.124 0.750
K 0.624 0.876 0.250
K 0.624 0.876 0.750
K 0.876 0.376 0.250
K 0.876 0.376 0.750
Au 0.000 0.000 0.500
Au 0.500 0.500 0.000



2.
A geometry-optimized CsK2Au structure. Source: the Alexandria database, functional GGA-PBE.

Properties
**V**: 181.8 Å³/cell
**Offset from the most stable computed form**: 168 meV/atom
**Crystal system**: cubic
**Magnetization**: 0.00 μB per cell
**Formation enthalpy at 0 K**: -0.002 eV per atom

Unit cell a=6.359 b=6.359 c=6.359 alpha=60.00 beta=60.00 gamma=60.00
Fractional coordinates of all 4 atoms:
Cs 0.000 0.000 0.000
K 0.250 0.250 0.250
K 0.750 0.750 0.750
Au 0.500 0.500 0.500



3.
A geometry-optimized Cs6K8Au structure. Source: the Alexandria database, functional GGA-PBE.

Properties
**V**: 1236.9 Å³/cell
**Crystal system**: trigonal
**Magnetization**: 0.00 μB per cell
**Formation enthalpy at 0 K**: -0.030 eV per atom

Unit cell a=11.164 b=11.164 c=11.164 alpha=72.83 beta=72.83 gamma=72.83
Fractional coordinates of all 15 atoms:
Cs 0.169 0.621 0.450
Cs 0.379 0.550 0.831
Cs 0.450 0.169 0.621
Cs 0.550 0.831 0.379
Cs 0.621 0.450 0.169
Cs 0.831 0.379 0.550
K 0.029 0.307 0.911
K 0.089 0.971 0.693
K 0.239 0.239 0.239
K 0.307 0.911 0.029
K 0.693 0.089 0.971
K 0.761 0.761 0.761
K 0.911 0.029 0.307
K 0.971 0.693 0.089
Au 0.000 0.000 0.000